Record 1
## CdRh2Br (PBE)

Data for CdRh2Br after structural relaxation.

## Properties
Electronic total energy (eV per atom): -3.91

abc: 3.0408 3.0408 8.9248
angles: 90.00 90.00 120.83
Last column: nearest neighbours and their distance in Å.
Sites, in units of the cell vectors:
Cd 0.0000 0.0000 0.0000  4 Rh 2.76, 6 Cd 3.00-3.04
Rh 0.5000 0.5000 0.2589  2 Br 2.62, 2 Cd 2.76
Rh 0.5000 0.5000 0.7411  2 Br 2.62, 2 Cd 2.76
Br 0.0000 0.0000 0.5000  4 Rh 2.62



Record 2
## Cd2RhBr (PBE)

Data for Cd2RhBr after structural relaxation.

## Properties
Electronic total energy (eV per atom): -2.62

abc: 4.9034 4.9034 3.3800
angles: 90.00 90.00 90.00
Last column: nearest neighbours and their distance in Å.
Sites, in units of the cell vectors:
Cd 0.0000 0.5000 0.0000  4 Br 2.98, 4 Rh 2.98
Cd 0.5000 0.0000 0.0000  4 Br 2.98, 4 Rh 2.98
Rh 0.0000 0.0000 0.5000  8 Cd 2.98
Br 0.5000 0.5000 0.5000  8 Cd 2.98



Record 3
## Cd3RhBr (PBE)

Data for Cd3RhBr after structural relaxation.

## Properties
Electronic total energy (eV per atom): -2.28

abc: 5.2229 5.2229 5.2229
angles: 90.00 90.00 90.00
Last column: nearest neighbours and their distance in Å.
Sites, in units of the cell vectors:
Cd 0.0000 0.0000 0.5000  2 Rh 2.61
Cd 0.0000 0.5000 0.0000  2 Rh 2.61
Cd 0.5000 0.0000 0.0000  2 Rh 2.61
Rh 0.0000 0.0000 0.0000  6 Cd 2.61
Br 0.5000 0.5000 0.5000  12 Cd 3.69



Record 4
## CdRh2Br (PBE)

Data for CdRh2Br after structural relaxation.

## Properties
Electronic total energy (eV per atom): -4.04

abc: 8.7590 8.7590 8.7590
angles: 20.81 20.81 20.81
Last column: nearest neighbours and their distance in Å.
Sites, in units of the cell vectors:
Cd 0.0000 0.0000 0.0000  3 Rh 2.80
Rh 0.4894 0.4894 0.4894  3 Rh 2.63, 3 Br 2.66
Rh 0.7493 0.7493 0.7493  3 Rh 2.63, 3 Cd 2.80
Br 0.2314 0.2314 0.2314  3 Rh 2.66



Record 5
## CdRh2Br (PBE)

Data for CdRh2Br after structural relaxation.

## Properties
Electronic total energy (eV per atom): -4.12

abc: 3.1506 3.1506 7.5636
angles: 90.00 90.00 90.00
Last column: nearest neighbours and their distance in Å.
Sites, in units of the cell vectors:
Cd 0.0000 0.0000 0.0000  4 Rh 2.82, 4 Cd 3.15
Rh 0.0000 0.0000 0.4239  4 Rh 2.67, 4 Br 2.88
Rh 0.5000 0.5000 0.2295  4 Rh 2.67, 4 Cd 2.82
Br 0.5000 0.5000 0.6651  4 Rh 2.88, 4 Br 3.15



Record 6
## CdRh3Br (PBE)

Data for CdRh3Br after structural relaxation.

## Properties
Electronic total energy (eV per atom): -3.34

abc: 5.0038 5.0038 5.0038
angles: 90.00 90.00 90.00
Last column: nearest neighbours and their distance in Å.
Sites, in units of the cell vectors:
Cd 0.0000 0.0000 0.0000  6 Rh 2.50
Rh 0.0000 0.0000 0.5000  2 Cd 2.50
Rh 0.0000 0.5000 0.0000  2 Cd 2.50
Rh 0.5000 0.0000 0.0000  2 Cd 2.50
Br 0.5000 0.5000 0.5000  12 Rh 3.54



Number 1: offset from the most stable computed form 281.7 meV/atom. Number 2: offset from the most stable computed form 271.7 meV/atom. Number 3: offset from the most stable computed form 0.0 meV/atom. Number 4: offset from the most stable computed form 151.9 meV/atom. Number 5: offset from the most stable computed form 73.4 meV/atom. Number 6: offset from the most stable computed form 823.5 meV/atom.